Record 1
SnC2F: relaxed, PBE.

a = 4.0065 Å, b = 4.0065 Å, c = 4.0065 Å
α = 60.00°, β = 60.00°, γ = 60.00°
Element x y z (fractional)
C 0.2500 0.2500 0.2500
C 0.7500 0.7500 0.7500
Sn 0.5000 0.5000 0.5000
F 0.0000 0.0000 0.0000

Polymorph energy (0 for the lowest one)   0.0 meV/atom
Magnetization   0.00 μB/atom
Uncorrected formation energy   1.79 eV per atom
D(E_F)   1.74 states/eV/f.u.
Total DFT energy (no corrections)   -4.287 eV per atom
Symmetry   No. 225

---

Record 2
Sn2CF: relaxed, PBE.

a = 5.8308 Å, b = 5.8308 Å, c = 6.3992 Å
α = 62.90°, β = 62.90°, γ = 90.00°
Element x y z (fractional)
C 0.5000 0.5000 0.0000
C 0.2500 0.7500 0.5000
Sn 0.5887 0.1250 0.2500
Sn 0.1613 0.6250 0.2500
Sn 0.3750 0.4113 0.7500
Sn 0.8750 0.8387 0.7500
F 0.0000 0.0000 0.0000
F 0.7500 0.2500 0.5000

Polymorph energy (0 for the lowest one)   0.0 meV/atom
Magnetization   0.00 μB/atom
Uncorrected formation energy   0.12 eV per atom
D(E_F)   3.98 states/eV/f.u.
Total DFT energy (no corrections)   -4.655 eV per atom
Symmetry   No. 122

---

Record 3
SnCF3: relaxed, PBE.

a = 4.0696 Å, b = 4.0696 Å, c = 4.0696 Å
α = 90.00°, β = 90.00°, γ = 90.00°
Element x y z (fractional)
C 0.0000 0.0000 0.0000
Sn 0.5000 0.5000 0.5000
F 0.0000 0.5000 0.0000
F 0.0000 0.0000 0.5000
F 0.5000 0.0000 0.0000

Polymorph energy (0 for the lowest one)   113.5 meV/atom
Magnetization   0.17 μB/atom
Uncorrected formation energy   -0.18 eV per atom
D(E_F)   1.80 states/eV/f.u.
Total DFT energy (no corrections)   -3.945 eV per atom
Symmetry   No. 221